The following is a DFT calculation (GGA-PBE) of an optimized crystal structure of KLiSn.

Unit cell a=8.2141 b=4.7604 c=11.9092 alpha=90.00 beta=102.86 gamma=90.00
Closest atoms and distances in Å follow each position.
Atoms (fractional coordinates):
K (0.0000, 0.0000, 0.0000)  3 Sn 3.56, 1 Li 3.65
K (0.2032, 0.0000, 0.6292)  3 Sn 3.56, 1 Li 3.65
K (0.5000, 0.5000, 0.0000)  3 Sn 3.56, 1 Li 3.65
K (0.7032, 0.5000, 0.6292)  3 Sn 3.56, 1 Li 3.65
Li (0.1014, 0.0000, 0.3145)  3 Li 2.73-2.75
Li (0.2687, 0.5000, 0.3145)  3 Li 2.73-2.75
Li (0.6014, 0.5000, 0.3145)  3 Li 2.73-2.75
Li (0.7687, 0.0000, 0.3145)  3 Li 2.73-2.75
Sn (0.3967, 0.0000, 0.1956)  1 Sn 2.76, 6 Li 3.07
Sn (0.4733, 0.0000, 0.4334)  1 Sn 2.76, 6 Li 3.07
Sn (0.8967, 0.5000, 0.1956)  1 Sn 2.76, 6 Li 3.07
Sn (0.9733, 0.5000, 0.4334)  1 Sn 2.76, 6 Li 3.07

Output
* density of states at the Fermi level: 4.08 states/eV/cell
* relative energy among the computed polymorphs: 0.140 eV/f.u.
* SG: Cm (8)
* energy of formation from the pure elements: -5.55 kcal/mol of atoms